[1]
InPd2N (GGA-PBE, relaxed); V = 60.85 Å³/cell; raw formation energy = 770 meV/atom
1.0
-1.546 -3.914 1.334
-3.125 -2.055 -2.345
0.989 -3.654 -2.271
N Pd In
1 2 1
Direct
0.000 0.000 0.000
0.250 0.250 0.250
0.750 0.750 0.750
0.500 0.500 0.500

[2]
Ac4La2Ho5 (GGA-PBE, relaxed); final energy = -4.23 eV per atom; V = 412.91 Å³/cell
1.0
3.528 0.000 -0.574
-0.015 9.255 -0.091
0.240 0.898 12.597
Ac La Ho
4 2 5
Direct
0.280 0.823 0.560
0.086 0.270 0.173
0.720 0.177 0.440
0.914 0.730 0.827
0.949 0.341 0.899
0.051 0.659 0.101
0.812 0.467 0.623
0.188 0.533 0.377
0.865 0.092 0.730
0.500 0.000 0.000
0.135 0.908 0.270

[3]
Tb2Y3Tm7 (GGA-PBE, relaxed); final energy = -4.89 eV per atom; V = 375.24 Å³/cell
1.0
-1.228 2.419 2.337
-4.926 0.121 -2.714
-3.872 -13.788 12.240
Tb Y Tm
2 3 7
Direct
0.000 0.853 0.707
0.000 0.147 0.293
0.500 0.500 0.000
0.500 0.685 0.370
0.500 0.315 0.630
0.000 0.409 0.819
0.000 0.770 0.539
0.000 0.000 0.000
0.000 0.591 0.181
0.500 0.071 0.142
0.500 0.929 0.858
0.000 0.230 0.461

[4]
Sc2Sn (GGA-PBE, relaxed); final energy = -5.96 eV per atom; V = 69.75 Å³/cell
1.0
3.490 0.000 0.000
0.000 3.490 0.000
-1.745 -1.745 5.726
Sc Sn
2 1
Direct
0.664 0.664 0.328
0.336 0.336 0.672
0.000 0.000 0.000

[5]
MgSbBr2 (GGA-PBE, relaxed); V = 104.65 Å³/cell; raw formation energy = -9 meV/atom
1.0
0.000 3.740 3.740
3.740 0.000 3.740
3.740 3.740 0.000
Sb Mg Br
1 1 2
Direct
0.500 0.500 0.500
0.000 0.000 0.000
0.250 0.250 0.250
0.750 0.750 0.750

[6]
Tb3PmRu (GGA-PBE, relaxed); final energy = -5.64 eV per atom; V = 159.41 Å³/cell
1.0
5.422 0.000 0.000
0.000 5.422 0.000
0.000 0.000 5.422
Ru Tb Pm
1 3 1
Direct
0.000 0.000 0.000
0.000 0.500 0.000
0.000 0.000 0.500
0.500 0.000 0.000
0.500 0.500 0.500

[7]
Pr4Y3Tm4 (GGA-PBE, relaxed); final energy = -5.10 eV per atom; V = 360.77 Å³/cell
1.0
-1.428 -1.292 3.045
-2.232 -3.707 -2.622
17.759 -8.941 2.401
Pr Y Tm
4 3 4
Direct
0.547 0.546 0.093
0.453 0.454 0.907
0.817 0.817 0.634
0.183 0.183 0.366
0.636 0.636 0.272
0.364 0.364 0.728
0.000 0.000 0.000
0.092 0.091 0.184
0.272 0.272 0.544
0.728 0.728 0.456
0.908 0.909 0.816

[8]
NaLa2Os2 (GGA-PBE, relaxed); final energy = -6.42 eV per atom; V = 257.28 Å³/cell
1.0
7.968 0.000 0.000
0.000 7.968 0.000
0.000 0.000 4.052
Na Os La
2 4 4
Direct
0.000 0.000 0.000
0.500 0.500 0.000
0.392 0.892 0.000
0.892 0.608 0.000
0.608 0.108 0.000
0.108 0.392 0.000
0.177 0.677 0.500
0.677 0.823 0.500
0.823 0.323 0.500
0.323 0.177 0.500

[9]
MnIn3Re (GGA-PBE, relaxed); final energy = -5.09 eV per atom; V = 143.01 Å³/cell
1.0
5.229 0.000 0.000
0.000 5.229 0.000
0.000 0.000 5.229
Re Mn In
1 1 3
Direct
0.000 0.000 0.000
0.500 0.500 0.500
0.000 0.500 0.000
0.000 0.000 0.500
0.500 0.000 0.000

[10]
Nd3Er2Tm8 (GGA-PBE, relaxed); final energy = -4.39 eV per atom; V = 421.83 Å³/cell
1.0
5.161 0.001 0.718
0.072 8.066 -0.534
-1.426 -4.769 10.256
Nd Er Tm
3 2 8
Direct
0.500 0.000 0.000
0.000 0.342 0.068
0.000 0.658 0.932
0.500 0.086 0.407
0.500 0.914 0.593
0.000 0.770 0.382
0.000 0.230 0.618
0.000 0.080 0.238
0.000 0.920 0.762
0.500 0.565 0.677
0.500 0.313 0.851
0.500 0.687 0.149
0.500 0.435 0.323

[11]
CoRe2Ru (GGA-PBE, relaxed); final energy = -9.84 eV per atom; V = 55.93 Å³/cell
1.0
0.000 3.035 3.035
3.035 0.000 3.035
3.035 3.035 0.000
Re Co Ru
2 1 1
Direct
0.250 0.250 0.250
0.750 0.750 0.750
0.000 0.000 0.000
0.500 0.500 0.500

[12]
MnBeHg2 (GGA-PBE, relaxed); final energy = -2.91 eV per atom; V = 69.29 Å³/cell
1.0
3.965 0.000 0.000
0.000 3.092 0.027
0.000 1.770 5.669
Be Mn Hg
1 1 2
Direct
0.500 0.750 0.750
0.500 0.250 0.250
0.000 0.883 0.988
0.000 0.617 0.512

In g cm⁻³, the ρ values for the records above are, in order, 9.3, 8.1, 7.8, 5.0, 4.9, 7.5, 6.9, 8.8, 6.8, 8.3, 15.8, 11.1.